# 1
First-principles (GGA-PBE) data for a relaxed structure of Th3Zn2Tc, as listed in Alexandria.

Unit cell a=12.270 b=4.529 c=10.787 alpha=90.00 beta=90.00 gamma=90.00
Positions (direct):
Th 0.051 0.250 0.116
Th 0.115 0.750 0.562
Th 0.235 0.250 0.792
Th 0.265 0.750 0.292
Th 0.385 0.250 0.062
Th 0.449 0.750 0.616
Th 0.551 0.250 0.384
Th 0.615 0.750 0.938
Th 0.735 0.250 0.708
Th 0.765 0.750 0.208
Th 0.885 0.250 0.438
Th 0.949 0.750 0.884
Zn 0.008 0.750 0.299
Zn 0.200 0.750 0.998
Zn 0.300 0.250 0.498
Zn 0.492 0.250 0.799
Zn 0.508 0.750 0.201
Zn 0.700 0.750 0.502
Zn 0.800 0.250 0.002
Zn 0.992 0.250 0.701
Tc 0.115 0.250 0.363
Tc 0.385 0.750 0.863
Tc 0.615 0.250 0.137
Tc 0.885 0.750 0.637

## Properties
total magnetic moment	0.0	μB per formula unit
DFT formation energy	-0.1471	eV per atom
theoretical density	10.2	g/cm3
volume	599.50	Å³/cell
space-group type	No. 62

***

# 2
First-principles (GGA-PBE) data for a relaxed structure of ThZn11Tc, as listed in Alexandria.

Unit cell a=7.047 b=7.047 c=6.679 alpha=97.88 beta=97.88 gamma=136.58
Positions (direct):
Th 0.000 0.000 0.000
Zn 0.000 0.500 0.000
Zn 0.018 0.669 0.640
Zn 0.274 0.501 0.778
Zn 0.331 0.982 0.360
Zn 0.499 0.726 0.222
Zn 0.500 0.000 0.000
Zn 0.500 0.500 0.500
Zn 0.501 0.274 0.778
Zn 0.669 0.018 0.640
Zn 0.726 0.499 0.222
Zn 0.982 0.331 0.360
Tc 0.000 0.000 0.500

## Properties
total magnetic moment	0.0	μB per formula unit
DFT formation energy	-0.1218	eV per atom
theoretical density	8.2	g/cm3
volume	211.70	Å³/cell
space-group type	No. 12

***

# 3
First-principles (GGA-PBE) data for a relaxed structure of Th5ZnTc2, as listed in Alexandria.

Unit cell a=8.700 b=8.700 c=8.700 alpha=125.77 beta=125.77 gamma=80.27
Positions (direct):
Th 0.000 0.000 0.000
Th 0.019 0.519 0.818
Th 0.201 0.019 0.500
Th 0.299 0.799 0.818
Th 0.481 0.299 0.500
Th 0.500 0.500 0.000
Th 0.519 0.701 0.500
Th 0.701 0.201 0.182
Th 0.799 0.981 0.500
Th 0.981 0.481 0.182
Zn 0.250 0.250 0.000
Zn 0.750 0.750 0.000
Tc 0.139 0.361 0.500
Tc 0.361 0.861 0.222
Tc 0.639 0.139 0.778
Tc 0.861 0.639 0.500

## Properties
total magnetic moment	0.0	μB per formula unit
DFT formation energy	-0.1778	eV per atom
theoretical density	11.3	g/cm3
volume	418.30	Å³/cell
space-group type	No. 140

***

# 4
First-principles (GGA-PBE) data for a relaxed structure of Th4ZnTc, as listed in Alexandria.

Unit cell a=7.267 b=7.267 c=6.096 alpha=90.00 beta=90.00 gamma=90.00
Positions (direct):
Th 0.150 0.324 0.000
Th 0.150 0.676 0.500
Th 0.324 0.150 0.500
Th 0.324 0.850 0.000
Th 0.676 0.150 0.000
Th 0.676 0.850 0.500
Th 0.850 0.324 0.500
Th 0.850 0.676 0.000
Zn 0.500 0.500 0.250
Zn 0.500 0.500 0.750
Tc 0.000 0.000 0.250
Tc 0.000 0.000 0.750

## Properties
total magnetic moment	0.0	μB per formula unit
DFT formation energy	-0.1537	eV per atom
theoretical density	11.3	g/cm3
volume	321.95	Å³/cell
space-group type	No. 124

***

- The lowest theoretical density belongs to which entry?
  ThZn11Tc

***

- Which formula does entry 1 have?
  Th3Zn2Tc

***

- Look up the total magnetic moment of the fourth one.
  0.0 μB per formula unit

***

- Look up the total magnetic moment of the second one.
  0.0 μB per formula unit